# Al2FeHAu, optimized geometry, DFT GGA-PBE
# Total DFT energy (no corrections) in eV/atom: -4.66
# M_tot in μB per cell: 1.18
data_Al2FeHAu
_cell_length_a 4.239
_cell_length_b 4.239
_cell_length_c 3.286
_cell_angle_alpha 90.00
_cell_angle_beta 90.00
_cell_angle_gamma 90.00
_space_group_name_H-M_alt 'P 4/m m m'
_space_group_IT_number 123
_space_group_name_Hall '-P 4 2'
loop_
_atom_site_label
_atom_site_type_symbol
_atom_site_fract_x
_atom_site_fract_y
_atom_site_fract_z
Al1 Al 0.000 0.500 0.000
Fe1 Fe 0.000 0.000 0.500
H1 H 0.000 0.000 0.000
Au1 Au 0.500 0.500 0.500